Entry from Alexandria: crystalline CaTa2Pt at its relaxed geometry (PBE).

Density of states at the Fermi level, states/eV/cell: 6.30
Energy relative to the lowest polymorph listed for this composition, meV/atom: 487.7
ΔE_f, eV/atom: 0.39

Cell: 3.9442 3.9442 10.9534 Å, 79.63 79.63 90.00°
Last column: nearest neighbours and their distance in Å.
Fractional positions:
Ca: 0.5000 0.5000 0.0000  4 Pt 2.79, 4 Ta 3.01
Ca: 0.2500 0.7500 0.5000  4 Pt 2.79, 4 Ta 3.01
Pt: 0.0000 0.0000 0.0000  4 Ca 2.79, 4 Ta 2.97
Pt: 0.7500 0.2500 0.5000  4 Ca 2.79, 4 Ta 2.97
Ta: 0.6412 0.1250 0.2500  4 Ta 2.70-2.88, 2 Pt 2.97, 2 Ca 3.01
Ta: 0.1088 0.6250 0.2500  4 Ta 2.70-2.88, 2 Pt 2.97, 2 Ca 3.01
Ta: 0.3750 0.3588 0.7500  4 Ta 2.70-2.88, 2 Pt 2.97, 2 Ca 3.01
Ta: 0.8750 0.8912 0.7500  4 Ta 2.70-2.88, 2 Pt 2.97, 2 Ca 3.01



Entry from Alexandria: crystalline CaTa2Pt at its relaxed geometry (PBE).

Density of states at the Fermi level, states/eV/cell: 3.82
Energy relative to the lowest polymorph listed for this composition, meV/atom: 189.4
ΔE_f, eV/atom: 0.09

Cell: 3.2557 4.5842 5.1512 Å, 90.00 90.00 90.00°
Last column: nearest neighbours and their distance in Å.
Fractional positions:
Ca: 0.5000 0.0000 0.5000  4 Pt 2.81, 4 Ta 3.05
Pt: 0.0000 0.5000 0.5000  4 Ca 2.81, 4 Ta 3.05
Ta: 0.0000 0.0000 0.0000  4 Ta 2.81, 4 Ca 3.05
Ta: 0.5000 0.5000 0.0000  4 Ta 2.81, 4 Pt 3.05



Entry from Alexandria: crystalline CaTa2Pt at its relaxed geometry (PBE).

Density of states at the Fermi level, states/eV/cell: 3.20
Energy relative to the lowest polymorph listed for this composition, meV/atom: 373.7
ΔE_f, eV/atom: 0.28

Cell: 10.3822 10.3822 10.3822 Å, 16.50 16.50 16.50°
Last column: nearest neighbours and their distance in Å.
Fractional positions:
Ca: 0.2500 0.2500 0.2500  6 Ca 2.98, 6 Ta 3.33
Pt: 0.7500 0.7500 0.7500  6 Ta 2.84, 6 Pt 2.98
Ta: 0.0096 0.0096 0.0096  3 Pt 2.84, 6 Ta 2.98
Ta: 0.4904 0.4904 0.4904  3 Pt 2.84, 6 Ta 2.98



Entry from Alexandria: crystalline CaTaPt4 at its relaxed geometry (PBE).

Density of states at the Fermi level, states/eV/cell: 5.82
ΔE_f, eV/atom: -0.42

Cell: 5.3291 5.3291 5.3291 Å, 60.00 60.00 60.00°
Last column: nearest neighbours and their distance in Å.
Fractional positions:
Ca: 0.0000 0.0000 0.0000  12 Pt 3.12, 4 Ta 3.26
Ta: 0.7500 0.7500 0.7500  12 Pt 3.12, 4 Ca 3.26
Pt: 0.8746 0.3751 0.3751  6 Pt 2.66-2.67
Pt: 0.3751 0.3751 0.8746  6 Pt 2.66-2.67
Pt: 0.3751 0.8746 0.3751  6 Pt 2.66-2.67
Pt: 0.3751 0.3751 0.3751  6 Pt 2.66-2.67



no.,electronic total energy (eV per atom)
1,-7.545
2,-7.843
3,-7.659
4,-6.754